! PBE AcIn2SnHg, optimized geometry; values from VASP
! Space group   No. 99
! Magnetic moment   0.00 Bohr magnetons per cell
! Energy of formation from the pure elements   -17.8 kJ per mole of atoms
&SYSTEM
  ibrav = 0, nat = 5, ntyp = 4
/
ATOMIC_SPECIES
Ac 227.00 Ac.upf
In 114.82 In.upf
Sn 118.71 Sn.upf
Hg 200.59 Hg.upf
ATOMIC_POSITIONS angstrom
Ac 0.0000 0.0000 0.0000
In 0.0000 2.2986 3.0922
In 2.2986 0.0000 3.0922
Sn 2.2986 2.2986 0.8300
Hg 0.0000 0.0000 5.2899
CELL_PARAMETERS angstrom
4.5971 0.0000 0.0000
0.0000 4.5971 0.0000
0.0000 0.0000 8.5470